Record 1
A plane-wave DFT calculation with GGA-PBE was carried out for a geometry-optimized VCd2Rh2 structure.

Volume (A^3/atom): 16.7
Distance to the lowest polymorph of the same formula (meV/atom): 0

a = 2.9491 Å, b = 2.9491 Å, c = 19.1629 Å
α = 90.00°, β = 90.00°, γ = 90.00°
Last column: nearest neighbours and their distance in Å.
Space group I4/mmm (No. 139)
Unique sites:
V  0.0000  0.0000  0.0000 [2 per cell]  8 Rh 2.59
Cd  0.0000  0.0000  0.1848 [4 per cell]  4 Rh 2.90, 4 Cd 2.95
Rh  0.0000  0.0000  0.4200 [4 per cell]  4 V 2.59, 4 Cd 2.90


Record 2
A plane-wave DFT calculation with GGA-PBE was carried out for a geometry-optimized VCdRh structure.

Volume (A^3/atom): 16.3

a = 2.9147 Å, b = 2.9147 Å, c = 11.5027 Å
α = 90.00°, β = 90.00°, γ = 90.00°
Last column: nearest neighbours and their distance in Å.
Space group I4mm (No. 107)
Unique sites:
V  0.0000  0.0000  0.0000 [2 per cell]  4 Rh 2.54
Cd  0.0000  0.0000  0.6894 [2 per cell]  4 Cd 2.91, 4 Rh 2.94, 4 V 3.00
Rh  0.0000  0.0000  0.3716 [2 per cell]  4 V 2.54


no.,density of states at the Fermi level (states/eV/f.u.),total magnetic moment (μB/cell),energy of formation from the pure elements (meV/atom)
1,3.54,1.28,-258
2,3.41,2.63,-89